## w
DFT (PBE) results for a relaxed structure of TlInH2.

abc: 3.262 5.829 8.672
angles: 73.97 79.53 75.67
Sites, in units of the cell vectors:
Tl 0.883 0.120 0.163
H 0.064 0.654 0.201
H 0.458 0.260 0.836
Tl 0.663 0.705 0.967
In 0.291 0.925 0.508
H 0.483 0.312 0.745
In 0.036 0.489 0.425
H 0.212 0.852 0.730

The symmetry is P1, No. 1. Its density of states at the Fermi level is 0.85 states/eV per cell.


## x
DFT (PBE) results for a relaxed structure of TlInH2.

abc: 5.100 5.305 7.060
angles: 68.35 90.02 61.28
Sites, in units of the cell vectors:
In 0.549 0.936 0.695
H 0.309 0.418 0.503
Tl 0.923 0.188 0.847
Tl 0.358 0.319 0.149
H 0.000 0.037 0.201
H 0.741 0.553 0.324
H 0.703 0.629 0.205
In 0.101 0.833 0.501

The symmetry is P1, No. 1. Its density of states at the Fermi level is 0.90 states/eV per cell.


## y
DFT (PBE) results for a relaxed structure of TlInH2.

abc: 4.568 4.568 4.568
angles: 60.00 60.00 60.00
Sites, in units of the cell vectors:
Tl 0.500 0.500 0.500
H 0.750 0.750 0.750
H 0.250 0.250 0.250
In 0.000 0.000 0.000

The symmetry is Fm-3m, No. 225. Its density of states at the Fermi level is 0.71 states/eV per cell.


## z
DFT (PBE) results for a relaxed structure of TlInH2.

abc: 3.188 4.066 5.443
angles: 90.00 90.00 90.00
Sites, in units of the cell vectors:
Tl 0.500 0.500 0.365
H 0.000 0.000 0.554
In 0.000 0.000 0.900
H 0.000 0.500 0.923

The symmetry is Pmm2, No. 25. Its density of states at the Fermi level is 0.45 states/eV per cell.


Energy ordering: w at the bottom, the next structure 1.5 kJ/mol of atoms above.


## w
DFT (PBE) results for a relaxed structure of Tl3InH.

abc: 3.421 8.941 8.643
angles: 96.36 90.00 101.03
Sites, in units of the cell vectors:
Tl 0.657 0.314 0.958
H 0.924 0.848 0.997
H 0.076 0.152 0.003
Tl 0.981 0.962 0.777
Tl 0.782 0.563 0.673
Tl 0.019 0.038 0.223
In 0.598 0.195 0.554
In 0.402 0.805 0.446
Tl 0.343 0.686 0.042
Tl 0.218 0.437 0.327

The symmetry is C2/m, No. 12. Its density of states at the Fermi level is 2.73 states/eV per cell.


## x
DFT (PBE) results for a relaxed structure of Tl3InH.

abc: 5.002 5.002 5.002
angles: 90.00 90.00 90.00
Sites, in units of the cell vectors:
Tl 0.500 0.000 0.000
Tl 0.000 0.000 0.500
Tl 0.000 0.500 0.000
H 0.000 0.000 0.000
In 0.500 0.500 0.500

The symmetry is Pm-3m, No. 221. Its density of states at the Fermi level is 2.01 states/eV per cell.


Energy ordering: w at the bottom, the next structure 2.7 kJ/mol of atoms above.


## w
DFT (PBE) results for a relaxed structure of Tm2InH.

abc: 6.815 6.263 8.167
angles: 90.00 100.44 90.00
Sites, in units of the cell vectors:
In 0.383 0.897 0.844
In 0.117 0.397 0.156
H 0.815 0.588 0.425
In 0.617 0.103 0.156
Tm 0.596 0.755 0.538
H 0.185 0.412 0.575
Tm 0.096 0.745 0.538
In 0.883 0.603 0.844
Tm 0.321 0.390 0.838
Tm 0.821 0.110 0.838
H 0.315 0.912 0.425
H 0.685 0.088 0.575
Tm 0.404 0.245 0.462
Tm 0.179 0.890 0.162
Tm 0.679 0.610 0.162
Tm 0.904 0.255 0.462

The symmetry is P2_1/c, No. 14. Its density of states at the Fermi level is 8.85 states/eV per cell.


## x
DFT (PBE) results for a relaxed structure of Tm2InH.

abc: 3.305 3.305 7.563
angles: 90.00 90.00 90.00
Sites, in units of the cell vectors:
In 0.500 0.500 0.500
H 0.500 0.500 0.000
Tm 0.000 0.000 0.210
Tm 0.000 0.000 0.790

The symmetry is P4/mmm, No. 123. Its density of states at the Fermi level is 3.35 states/eV per cell.


Energy ordering: w at the bottom, the next structure 30.1 kJ/mol of atoms above.


## w
DFT (PBE) results for a relaxed structure of TmInH.

abc: 3.148 3.148 6.171
angles: 104.78 104.78 90.00
Sites, in units of the cell vectors:
Tm 0.729 0.729 0.458
H 0.266 0.266 0.531
In 0.005 0.005 0.011

The symmetry is I4mm, No. 107. Its density of states at the Fermi level is 1.71 states/eV per cell.


## x
DFT (PBE) results for a relaxed structure of TmInH.

abc: 3.529 5.750 6.469
angles: 117.17 105.99 89.93
Sites, in units of the cell vectors:
H 0.711 0.558 0.924
Tm 0.119 0.429 0.740
H 0.289 0.442 0.076
In 0.630 0.943 0.757
In 0.370 0.057 0.243
Tm 0.881 0.571 0.260

The symmetry is P-1, No. 2. Its density of states at the Fermi level is 1.64 states/eV per cell.


Energy ordering: x at the bottom, the next structure 25.0 kJ/mol of atoms above.


## w
DFT (PBE) results for a relaxed structure of VInH2.

abc: 4.051 4.051 6.108
angles: 70.63 70.63 90.00
Sites, in units of the cell vectors:
H 0.297 0.625 0.250
V 0.250 0.750 0.500
In 0.750 0.250 0.500
In 0.000 0.000 0.000
V 0.500 0.500 0.000
H 0.453 0.125 0.250
H 0.375 0.547 0.750
H 0.875 0.703 0.750

The symmetry is I-42d, No. 122. Its density of states at the Fermi level is 2.81 states/eV per cell.


## x
DFT (PBE) results for a relaxed structure of VInH2.

abc: 3.955 3.955 3.955
angles: 60.00 60.00 60.00
Sites, in units of the cell vectors:
In 0.500 0.500 0.500
V 0.000 0.000 0.000
H 0.750 0.750 0.750
H 0.250 0.250 0.250

The symmetry is Fm-3m, No. 225. Its density of states at the Fermi level is 4.42 states/eV per cell.


Energy ordering: w at the bottom, the next structure 48.6 kJ/mol of atoms above.


## w
DFT (PBE) results for a relaxed structure of V2InH.

abc: 4.333 4.333 4.333
angles: 60.00 60.00 60.00
Sites, in units of the cell vectors:
V 0.250 0.250 0.250
In 0.500 0.500 0.500
H 0.000 0.000 0.000
V 0.750 0.750 0.750

The symmetry is Fm-3m, No. 225. Its density of states at the Fermi level is 4.59 states/eV per cell.


## x
DFT (PBE) results for a relaxed structure of V2InH.

abc: 5.339 5.339 5.393
angles: 60.33 60.33 90.00
Sites, in units of the cell vectors:
In 0.750 0.250 0.500
V 0.375 0.625 0.750
H 0.250 0.750 0.500
In 0.000 0.000 0.000
V 0.375 0.125 0.250
V 0.875 0.625 0.750
H 0.500 0.500 0.000
V 0.375 0.625 0.250

The symmetry is I4_1/amd, No. 141. Its density of states at the Fermi level is 5.80 states/eV per cell.


## y
DFT (PBE) results for a relaxed structure of V2InH.

abc: 3.063 3.063 6.738
angles: 76.86 76.86 60.00
Sites, in units of the cell vectors:
V 0.290 0.290 0.131
V 0.710 0.710 0.869
In 0.500 0.500 0.500
H 0.000 0.000 0.000

The symmetry is R-3m, No. 166. Its density of states at the Fermi level is 2.79 states/eV per cell.


Energy ordering: y at the bottom, the next structure 13.2 kJ/mol of atoms above.